The following is a DFT calculation (PBE) of an optimized crystal structure of SmDy3Mg.

CIF file:
```
data_SmDy3Mg
_chemical_formula_sum 'Sm2 Dy6 Mg2'
_cell_length_a 3.4944
_cell_length_b 12.9232
_cell_length_c 6.9562
_cell_angle_alpha 90.00
_cell_angle_beta 90.00
_cell_angle_gamma 97.79
_space_group_name_H-M_alt 'P 1'
_space_group_IT_number 1
_space_group_name_Hall 'P 1'
loop_
_atom_site_label
_atom_site_fract_x
_atom_site_fract_y
_atom_site_fract_z
_atom_site_occupancy
Dy1 0.1014 0.7020 0.9902 1
Mg1 0.3145 0.1282 0.7500 1
Sm1 0.5011 0.5026 0.2500 1
Mg2 0.6855 0.8718 0.2500 1
Dy2 0.2951 0.0911 0.2500 1
Sm2 0.4989 0.4974 0.7500 1
Dy3 0.1014 0.7020 0.5098 1
Dy4 0.7049 0.9089 0.7500 1
Dy5 0.8986 0.2980 0.4902 1
Dy6 0.8986 0.2980 0.0098 1
```

space-group type	P2_1/m (11)
E_form	69.3	meV per atom
relative energy among the computed polymorphs	0.0856	eV per atom

The following is a DFT calculation (PBE) of an optimized crystal structure of SmDy5Mg3.

CIF file:
```
data_SmDy5Mg3
_chemical_formula_sum 'Sm2 Dy10 Mg6'
_cell_length_a 7.2978
_cell_length_b 7.2978
_cell_length_c 12.0497
_cell_angle_alpha 78.70
_cell_angle_beta 78.70
_cell_angle_gamma 77.14
_space_group_name_H-M_alt 'P 1'
_space_group_IT_number 1
_space_group_name_Hall 'P 1'
loop_
_atom_site_label
_atom_site_fract_x
_atom_site_fract_y
_atom_site_fract_z
_atom_site_occupancy
Dy1 0.3594 0.9948 0.2047 1
Dy2 0.0052 0.6406 0.7952 1
Dy3 0.7250 0.7250 0.0684 1
Mg1 0.0000 0.0000 0.0000 1
Mg2 0.2632 0.2632 0.4377 1
Mg3 0.4220 0.4220 0.2129 1
Dy4 0.6908 0.3092 0.0000 1
Dy5 0.4142 0.4142 0.6294 1
Sm1 0.1187 0.1187 0.7344 1
Mg4 0.0000 0.0000 0.5000 1
Mg5 0.5780 0.5780 0.7871 1
Dy6 0.9948 0.3594 0.2047 1
Dy7 0.3092 0.6908 0.0000 1
Dy8 0.2750 0.2750 0.9316 1
Dy9 0.5858 0.5858 0.3706 1
Dy10 0.6406 0.0052 0.7952 1
Sm2 0.8813 0.8813 0.2656 1
Mg6 0.7368 0.7368 0.5623 1
```

space-group type	C2/m (12)
E_form	361.4	meV per atom

The following is a DFT calculation (PBE) of an optimized crystal structure of Sm3Dy4Mg.

CIF file:
```
data_Sm3Dy4Mg
_chemical_formula_sum 'Sm6 Dy8 Mg2'
_cell_length_a 6.2277
_cell_length_b 7.1568
_cell_length_c 11.3172
_cell_angle_alpha 90.00
_cell_angle_beta 90.00
_cell_angle_gamma 90.00
_space_group_name_H-M_alt 'P 1'
_space_group_IT_number 1
_space_group_name_Hall 'P 1'
loop_
_atom_site_label
_atom_site_fract_x
_atom_site_fract_y
_atom_site_fract_z
_atom_site_occupancy
Dy1 0.4845 0.1255 0.0000 1
Sm1 0.1499 0.6219 0.2424 1
Dy2 0.6426 0.8750 0.2560 1
Dy3 0.1426 0.1250 0.2440 1
Dy4 0.9676 0.8816 0.0000 1
Sm2 0.1499 0.6219 0.7576 1
Mg1 0.9831 0.3721 0.0000 1
Sm3 0.6499 0.3781 0.2576 1
Dy5 0.1426 0.1250 0.7560 1
Sm4 0.9951 0.3712 0.5000 1
Dy6 0.4676 0.1184 0.5000 1
Dy7 0.9845 0.8745 0.5000 1
Dy8 0.6426 0.8750 0.7440 1
Mg2 0.4831 0.6279 0.5000 1
Sm5 0.6499 0.3781 0.7424 1
Sm6 0.4951 0.6288 0.0000 1
```

space-group type	Pmn2_1 (31)
E_form	2.7	meV per atom
relative energy among the computed polymorphs	0.0000	eV per atom

The following is a DFT calculation (PBE) of an optimized crystal structure of Sm2DyMg.

CIF file:
```
data_Sm2DyMg
_chemical_formula_sum 'Sm2 Dy1 Mg1'
_cell_length_a 3.8352
_cell_length_b 5.6471
_cell_length_c 5.6471
_cell_angle_alpha 90.00
_cell_angle_beta 90.00
_cell_angle_gamma 90.00
_space_group_name_H-M_alt 'P 1'
_space_group_IT_number 1
_space_group_name_Hall 'P 1'
loop_
_atom_site_label
_atom_site_fract_x
_atom_site_fract_y
_atom_site_fract_z
_atom_site_occupancy
Sm1 0.0000 0.5000 0.0000 1
Dy1 0.5000 0.0000 0.0000 1
Sm2 0.0000 0.0000 0.5000 1
Mg1 0.5000 0.5000 0.5000 1
```

space-group type	P4/mmm (123)
E_form	19.2	meV per atom
relative energy among the computed polymorphs	0.0486	eV per atom

The following is a DFT calculation (PBE) of an optimized crystal structure of Sm3Dy4Mg.

CIF file:
```
data_Sm3Dy4Mg
_chemical_formula_sum 'Sm3 Dy4 Mg1'
_cell_length_a 3.4048
_cell_length_b 5.8997
_cell_length_c 12.9494
_cell_angle_alpha 95.96
_cell_angle_beta 97.55
_cell_angle_gamma 90.00
_space_group_name_H-M_alt 'P 1'
_space_group_IT_number 1
_space_group_name_Hall 'P 1'
loop_
_atom_site_label
_atom_site_fract_x
_atom_site_fract_y
_atom_site_fract_z
_atom_site_occupancy
Sm1 0.8506 0.2838 0.7012 1
Dy1 0.2820 0.7628 0.5641 1
Dy2 0.1017 0.1930 0.2034 1
Dy3 0.7180 0.2372 0.4359 1
Dy4 0.8983 0.8070 0.7966 1
Sm2 0.1494 0.7162 0.2988 1
Sm3 0.0000 0.5000 0.0000 1
Mg1 0.5000 0.0000 0.0000 1
```

space-group type	C2/m (12)
E_form	195.0	meV per atom
relative energy among the computed polymorphs	0.1923	eV per atom

The following is a DFT calculation (PBE) of an optimized crystal structure of SmDyMgSn.

CIF file:
```
data_SmDyMgSn
_chemical_formula_sum 'Sm1 Dy1 Mg1 Sn1'
_cell_length_a 5.3427
_cell_length_b 5.3427
_cell_length_c 5.3427
_cell_angle_alpha 60.00
_cell_angle_beta 60.00
_cell_angle_gamma 60.00
_space_group_name_H-M_alt 'P 1'
_space_group_IT_number 1
_space_group_name_Hall 'P 1'
loop_
_atom_site_label
_atom_site_fract_x
_atom_site_fract_y
_atom_site_fract_z
_atom_site_occupancy
Sn1 0.2500 0.2500 0.2500 1
Sm1 0.5000 0.5000 0.5000 1
Mg1 0.7500 0.7500 0.7500 1
Dy1 0.0000 0.0000 0.0000 1
```

space-group type	F-43m (216)
E_form	-411.9	meV per atom

The following is a DFT calculation (PBE) of an optimized crystal structure of Tb2Sm6Dy3Mg.

CIF file:
```
data_Tb2Sm6Dy3Mg
_chemical_formula_sum 'Tb2 Sm6 Dy3 Mg1'
_cell_length_a 6.1921
_cell_length_b 6.1921
_cell_length_c 11.7541
_cell_angle_alpha 95.05
_cell_angle_beta 95.05
_cell_angle_gamma 120.04
_space_group_name_H-M_alt 'P 1'
_space_group_IT_number 1
_space_group_name_Hall 'P 1'
loop_
_atom_site_label
_atom_site_fract_x
_atom_site_fract_y
_atom_site_fract_z
_atom_site_occupancy
Sm1 0.2500 0.2500 0.7498 1
Sm2 0.5855 0.9177 0.7510 1
Sm3 0.4145 0.0823 0.2490 1
Dy1 0.1662 0.8338 0.5000 1
Sm4 0.0823 0.4145 0.2490 1
Mg1 0.0000 0.0000 0.0000 1
Dy2 0.8338 0.1662 0.5000 1
Sm5 0.7500 0.7500 0.2502 1
Tb1 0.3334 0.6666 0.0000 1
Dy3 0.5000 0.5000 0.5000 1
Tb2 0.6666 0.3334 0.0000 1
Sm6 0.9177 0.5855 0.7510 1
```

space-group type	C2/m (12)
E_form	20.2	meV per atom

The following is a DFT calculation (PBE) of an optimized crystal structure of Tb2SmDy2Mg.

CIF file:
```
data_Tb2SmDy2Mg
_chemical_formula_sum 'Tb4 Sm2 Dy4 Mg2'
_cell_length_a 3.6661
_cell_length_b 5.5045
_cell_length_c 18.6319
_cell_angle_alpha 90.00
_cell_angle_beta 90.00
_cell_angle_gamma 90.00
_space_group_name_H-M_alt 'P 1'
_space_group_IT_number 1
_space_group_name_Hall 'P 1'
loop_
_atom_site_label
_atom_site_fract_x
_atom_site_fract_y
_atom_site_fract_z
_atom_site_occupancy
Sm1 0.0000 0.0000 0.0000 1
Dy1 0.5000 0.0006 0.3653 1
Tb1 0.5000 0.0007 0.1837 1
Dy2 0.5000 0.9994 0.6347 1
Tb2 0.5000 0.9993 0.8163 1
Tb3 0.0000 0.5007 0.3163 1
Dy3 0.0000 0.5006 0.1347 1
Sm2 0.5000 0.5000 0.5000 1
Tb4 0.0000 0.4993 0.6837 1
Dy4 0.0000 0.4994 0.8653 1
Mg1 0.0000 0.0000 0.5000 1
Mg2 0.5000 0.5000 0.0000 1
```

space-group type	Immm (71)
E_form	96.6	meV per atom

The following is a DFT calculation (PBE) of an optimized crystal structure of TbSm2Dy6Mg.

CIF file:
```
data_TbSm2Dy6Mg
_chemical_formula_sum 'Tb2 Sm4 Dy12 Mg2'
_cell_length_a 6.6174
_cell_length_b 10.9641
_cell_length_c 10.9641
_cell_angle_alpha 126.24
_cell_angle_beta 85.81
_cell_angle_gamma 85.81
_space_group_name_H-M_alt 'P 1'
_space_group_IT_number 1
_space_group_name_Hall 'P 1'
loop_
_atom_site_label
_atom_site_fract_x
_atom_site_fract_y
_atom_site_fract_z
_atom_site_occupancy
Dy1 0.0296 0.0877 0.7940 1
Sm1 0.9978 0.3489 0.1843 1
Sm2 0.5022 0.8157 0.6511 1
Mg1 0.2500 0.2933 0.7067 1
Mg2 0.7500 0.7067 0.2933 1
Tb1 0.2500 0.9925 0.0075 1
Dy2 0.2216 0.5633 0.0850 1
Sm3 0.0022 0.6511 0.8157 1
Dy3 0.7784 0.4367 0.9150 1
Dy4 0.5296 0.7940 0.0877 1
Dy5 0.4823 0.4712 0.2970 1
Dy6 0.4704 0.2060 0.9123 1
Sm4 0.4978 0.1843 0.3489 1
Dy7 0.0177 0.7030 0.5288 1
Dy8 0.5177 0.5288 0.7030 1
Tb2 0.7500 0.0075 0.9925 1
Dy9 0.9823 0.2970 0.4712 1
Dy10 0.2784 0.9150 0.4367 1
Dy11 0.7216 0.0850 0.5633 1
Dy12 0.9704 0.9123 0.2060 1
```

space-group type	C2/c (15)
E_form	107.3	meV per atom

The following is a DFT calculation (PBE) of an optimized crystal structure of TbSm2Dy2Mg.

CIF file:
```
data_TbSm2Dy2Mg
_chemical_formula_sum 'Tb2 Sm4 Dy4 Mg2'
_cell_length_a 3.6139
_cell_length_b 11.8684
_cell_length_c 10.2761
_cell_angle_alpha 90.00
_cell_angle_beta 90.00
_cell_angle_gamma 90.00
_space_group_name_H-M_alt 'P 1'
_space_group_IT_number 1
_space_group_name_Hall 'P 1'
loop_
_atom_site_label
_atom_site_fract_x
_atom_site_fract_y
_atom_site_fract_z
_atom_site_occupancy
Dy1 0.0000 0.5694 0.2519 1
Mg1 0.0000 0.0000 0.0000 1
Tb1 0.0000 0.0000 0.5000 1
Dy2 0.5000 0.9306 0.7519 1
Sm1 0.0000 0.2762 0.1001 1
Tb2 0.5000 0.5000 0.0000 1
Sm2 0.5000 0.2238 0.6001 1
Sm3 0.5000 0.7762 0.3999 1
Dy3 0.0000 0.4306 0.7481 1
Mg2 0.5000 0.5000 0.5000 1
Dy4 0.5000 0.0694 0.2481 1
Sm4 0.0000 0.7238 0.8999 1
```

space-group type	Pnnm (58)
E_form	456.1	meV per atom